1.
# Mg4Cd6Ag (PBE-GGA, optimized geometry)
data_Mg4Cd6Ag
_space_group_name_H-M_alt 'I -4 2 m'
_space_group_IT_number 121
_space_group_name_Hall 'I -4 2'
_cell_length_a 5.6967
_cell_length_b 5.6967
_cell_length_c 15.6229
_cell_angle_alpha 90.00
_cell_angle_beta 90.00
_cell_angle_gamma 90.00
loop_
_atom_site_label
_atom_site_type_symbol
_atom_site_fract_x
_atom_site_fract_y
_atom_site_fract_z
Mg1 Mg 0.1956 0.1956 0.1772
Cd1 Cd 0.0000 0.5000 0.0000
Cd2 Cd 0.1905 0.1905 0.3660
Ag1 Ag 0.0000 0.0000 0.0000
# **Size of the total moment**: 0.000 μB/atom
# **Total energy**: -29.6 eV per cell
# **Density of states at the Fermi level**: 7.051 states/eV per cell
# **Crystal system**: tetragonal

***

2.
# TlZnGe (PBE-GGA, optimized geometry)
data_TlZnGe
_space_group_name_H-M_alt 'P 3 m 1'
_space_group_IT_number 156
_cell_length_a 4.3448
_cell_length_b 4.3448
_cell_length_c 4.3850
_cell_angle_alpha 90.00
_cell_angle_beta 90.00
_cell_angle_gamma 120.00
loop_
_space_group_symop_operation_xyz
'x,y,z'
'-y,x-y,z'
'-x+y,-x,z'
'-y,-x,z'
'-x+y,y,z'
'x,x-y,z'
loop_
_atom_site_label
_atom_site_type_symbol
_atom_site_fract_x
_atom_site_fract_y
_atom_site_fract_z
Tl1 Tl 0.0000 0.0000 0.0000
Zn1 Zn 0.6667 0.3333 0.5018
Ge1 Ge 0.3333 0.6667 0.4988
# **Size of the total moment**: 0.000 μB/atom
# **Total energy**: -7.8 eV per cell
# **Density of states at the Fermi level**: 1.041 states/eV per cell
# **Crystal system**: trigonal

***

3.
# Gd2BiTe (PBE-GGA, optimized geometry)
data_Gd2BiTe
_space_group_name_H-M_alt 'R -3 m'
_space_group_IT_number 166
_space_group_name_Hall '-R 3 2"'
_cell_length_a 4.4817
_cell_length_b 4.4817
_cell_length_c 21.8398
_cell_angle_alpha 90.00
_cell_angle_beta 90.00
_cell_angle_gamma 120.00
loop_
_atom_site_label
_atom_site_type_symbol
_atom_site_fract_x
_atom_site_fract_y
_atom_site_fract_z
Gd1 Gd 0.0000 0.0000 0.2502
Bi1 Bi 0.0000 0.0000 0.0000
Te1 Te 0.0000 0.0000 0.5000
# **Size of the total moment**: 3.435 μB/atom
# **Total energy**: -119.6 eV per cell
# **Density of states at the Fermi level**: 18.927 states/eV per cell
# **Formation energy (no corrections)**: -1.17 eV/atom
# **Crystal system**: trigonal

***

4.
# Li7YZn5 (PBE-GGA, optimized geometry)
data_Li7YZn5
_space_group_name_H-M_alt 'I m m 2'
_space_group_IT_number 44
_cell_length_a 5.1911
_cell_length_b 9.1960
_cell_length_c 9.2686
_cell_angle_alpha 90.00
_cell_angle_beta 90.00
_cell_angle_gamma 90.00
loop_
_space_group_symop_operation_xyz
'x,y,z'
'-x,-y,z'
'-x,y,z'
'x,-y,z'
'x+1/2,y+1/2,z+1/2'
'-x+1/2,-y+1/2,z+1/2'
'-x+1/2,y+1/2,z+1/2'
'x+1/2,-y+1/2,z+1/2'
loop_
_atom_site_label
_atom_site_type_symbol
_atom_site_fract_x
_atom_site_fract_y
_atom_site_fract_z
Li1 Li 0.0000 0.0000 0.0000
Li2 Li 0.0000 0.0000 0.3076
Li3 Li 0.0000 0.2857 0.1423
Li4 Li 0.0000 0.3518 0.6351
Li5 Li 0.0000 0.5000 0.9220
Y1 Y 0.0000 0.0000 0.6593
Zn1 Zn 0.0000 0.5000 0.3522
Zn2 Zn 0.2485 0.2474 0.8904
# **Size of the total moment**: 0.000 μB/atom
# **Total energy**: -56.7 eV per cell
# **Density of states at the Fermi level**: 11.093 states/eV per cell
# **Crystal system**: orthorhombic

***

Q: Which value of total energy does entry 1 give?
A: -29.6 eV per cell